# 1
Below is a relaxed DyIn7 crystal, with properties calculated at the PBE level.

## Properties
As for the space-group type: No. 225. The calculation puts the energy of formation at -163 meV/atom. Its crystal system is cubic.

Cell lengths 6.670, 6.670, 6.670 Å; angles 60.00, 60.00, 60.00 degrees
Fractional positions:
Dy 0.000 0.000 0.000
In 0.000 0.000 0.500
In 0.000 0.500 0.000
In 0.000 0.500 0.500
In 0.500 0.000 0.000
In 0.500 0.000 0.500
In 0.500 0.500 0.000
In 0.500 0.500 0.500

# 2
Below is a relaxed BeAsPt crystal, with properties calculated at the PBE level.

## Properties
As for the space-group type: No. 187. The calculation puts the energy of formation at -51 meV/atom. The distance to the lowest polymorph of the same formula comes out at 259.2 meV per atom. Its crystal system is hexagonal.

Cell lengths 3.876, 3.876, 3.511 Å; angles 90.00, 90.00, 120.00 degrees
Fractional positions:
Be 0.000 0.000 0.000
As 0.667 0.333 0.500
Pt 0.333 0.667 0.000

# 3
Below is a relaxed ZnCdInHg2 crystal, with properties calculated at the PBE level.

## Properties
As for the space-group type: No. 123. The calculation puts the energy of formation at 183 meV/atom. The distance to the lowest polymorph of the same formula comes out at 0.0 meV per atom. Its crystal system is tetragonal.

Cell lengths 5.273, 5.273, 5.121 Å; angles 90.00, 90.00, 90.00 degrees
Fractional positions:
Zn 0.000 0.000 0.000
Cd 0.000 0.000 0.500
In 0.500 0.500 0.500
Hg 0.000 0.500 0.000
Hg 0.500 0.000 0.000

# 4
Below is a relaxed Nd2MgS4 crystal, with properties calculated at the PBE level.

## Properties
As for the space-group type: No. 227. The uncorrected formation energy comes out at -1807.7 meV/atom. The distance to the lowest polymorph of the same formula comes out at 27.7 meV per atom. Its crystal system is cubic.

Cell lengths 8.125, 8.125, 8.125 Å; angles 60.00, 60.00, 60.00 degrees
Fractional positions:
Nd 0.000 0.000 0.000
Nd 0.000 0.000 0.500
Nd 0.000 0.500 0.000
Nd 0.500 0.000 0.000
Mg 0.375 0.375 0.375
Mg 0.625 0.625 0.625
S 0.242 0.753 0.753
S 0.247 0.247 0.247
S 0.247 0.247 0.758
S 0.247 0.758 0.247
S 0.753 0.242 0.753
S 0.753 0.753 0.242
S 0.753 0.753 0.753
S 0.758 0.247 0.247

# 5
Below is a relaxed Ge3Pd5I12 crystal, with properties calculated at the PBE level.

## Properties
As for the space-group type: No. 230. The uncorrected formation energy comes out at -13.5 meV/atom. Its crystal system is cubic.

Cell lengths 14.993, 14.993, 14.993 Å; angles 109.47, 109.47, 109.47 degrees
Fractional positions:
Ge 0.125 0.250 0.375
Ge 0.125 0.375 0.750
Ge 0.250 0.375 0.125
Ge 0.250 0.875 0.625
Ge 0.375 0.125 0.250
Ge 0.375 0.750 0.125
Ge 0.625 0.250 0.875
Ge 0.625 0.875 0.750
Ge 0.750 0.125 0.375
Ge 0.750 0.625 0.875
Ge 0.875 0.625 0.250
Ge 0.875 0.750 0.625
Pd 0.000 0.000 0.000
Pd 0.000 0.000 0.500
Pd 0.000 0.500 0.000
Pd 0.000 0.500 0.500
Pd 0.125 0.750 0.875
Pd 0.125 0.875 0.250
Pd 0.250 0.125 0.875
Pd 0.250 0.625 0.375
Pd 0.375 0.250 0.625
Pd 0.375 0.625 0.750
Pd 0.500 0.000 0.000
Pd 0.500 0.000 0.500
Pd 0.500 0.500 0.000
Pd 0.500 0.500 0.500
Pd 0.625 0.375 0.250
Pd 0.625 0.750 0.375
Pd 0.750 0.375 0.625
Pd 0.750 0.875 0.125
Pd 0.875 0.125 0.750
Pd 0.875 0.250 0.125
I 0.034 0.208 0.126
I 0.034 0.325 0.908
I 0.082 0.708 0.675
I 0.082 0.874 0.408
I 0.092 0.626 0.418
I 0.092 0.966 0.675
I 0.126 0.034 0.208
I 0.126 0.592 0.918
I 0.175 0.208 0.582
I 0.175 0.466 0.592
I 0.208 0.126 0.034
I 0.208 0.582 0.175
I 0.292 0.325 0.918
I 0.292 0.466 0.374
I 0.325 0.908 0.034
I 0.325 0.918 0.292
I 0.374 0.292 0.466
I 0.374 0.582 0.908
I 0.408 0.082 0.874
I 0.408 0.825 0.534
I 0.418 0.092 0.626
I 0.418 0.825 0.792
I 0.466 0.374 0.292
I 0.466 0.592 0.175
I 0.534 0.408 0.825
I 0.534 0.626 0.708
I 0.582 0.175 0.208
I 0.582 0.908 0.374
I 0.592 0.175 0.466
I 0.592 0.918 0.126
I 0.626 0.418 0.092
I 0.626 0.708 0.534
I 0.675 0.082 0.708
I 0.675 0.092 0.966
I 0.708 0.534 0.626
I 0.708 0.675 0.082
I 0.792 0.418 0.825
I 0.792 0.874 0.966
I 0.825 0.534 0.408
I 0.825 0.792 0.418
I 0.874 0.408 0.082
I 0.874 0.966 0.792
I 0.908 0.034 0.325
I 0.908 0.374 0.582
I 0.918 0.126 0.592
I 0.918 0.292 0.325
I 0.966 0.675 0.092
I 0.966 0.792 0.874

# 6
Below is a relaxed LiTbSm crystal, with properties calculated at the PBE level.

## Properties
As for the space-group type: No. 12. The calculation puts the energy of formation at 51 meV/atom. The distance to the lowest polymorph of the same formula comes out at 0.0 meV per atom. Its crystal system is monoclinic.

Cell lengths 3.649, 3.649, 12.873 Å; angles 90.04, 90.04, 90.11 degrees
Fractional positions:
Li 0.250 0.250 0.051
Li 0.750 0.750 0.949
Tb 0.249 0.249 0.787
Tb 0.751 0.751 0.213
Sm 0.251 0.251 0.399
Sm 0.749 0.749 0.601

no.,raw total energy (eV per cell)
1,-25.07
2,-14.57
3,-4.62
4,-80.59
5,-234.75
6,-22.22